No. 1
NaTmCd2Cl8: optimized geometry, PBE.

Unit cell a=6.157 b=8.072 c=6.429 alpha=90.00 beta=90.04 gamma=90.00
Positions (direct):
Na: 0.000 0.000 0.000
Tm: 0.000 0.500 0.000
Cd: 0.500 0.242 0.500
Cd: 0.500 0.758 0.500
Cl: 0.229 0.267 0.171
Cl: 0.229 0.733 0.171
Cl: 0.271 0.500 0.673
Cl: 0.275 0.000 0.659
Cl: 0.725 0.000 0.341
Cl: 0.729 0.500 0.327
Cl: 0.771 0.267 0.829
Cl: 0.771 0.733 0.829

Properties
* raw total energy: -3.4450 eV per atom



No. 2
Na2UCdCl8: optimized geometry, PBE.

Unit cell a=6.394 b=8.386 c=6.551 alpha=90.00 beta=94.99 gamma=90.00
Positions (direct):
Na: 0.000 0.239 0.000
Na: 0.000 0.761 0.000
U: 0.500 0.500 0.500
Cd: 0.500 0.000 0.500
Cl: 0.226 0.500 0.179
Cl: 0.236 0.000 0.201
Cl: 0.290 0.268 0.666
Cl: 0.290 0.732 0.666
Cl: 0.710 0.268 0.334
Cl: 0.710 0.732 0.334
Cl: 0.764 0.000 0.799
Cl: 0.774 0.500 0.821

Properties
* raw total energy: -4.0421 eV per atom



No. 3
NaVCdCl2: optimized geometry, PBE.

Unit cell a=4.977 b=4.977 c=5.731 alpha=90.00 beta=90.00 gamma=90.00
Positions (direct):
Na: 0.000 0.000 0.000
V: 0.000 0.000 0.500
Cd: 0.500 0.500 0.500
Cl: 0.000 0.500 0.000
Cl: 0.500 0.000 0.000

Properties
* raw total energy: -2.8520 eV per atom